## Ti2VO (PBE+U)

Data for an optimized crystal structure of Ti2VO.

Calculated values
The spin magnetization comes out at 4.78 μB per cell. Its space group is I-42d (122). The value obtained for the volume is 16.72 Å³/atom. As for the total energy: -7.598 eV/atom.

Unit cell a=5.681 b=5.681 c=5.681 alpha=117.68 beta=117.68 gamma=94.06
Element x y z (fractional)
Ti: 0.003 0.625 0.878
Ti: 0.375 0.253 0.378
Ti: 0.747 0.125 0.122
Ti: 0.875 0.997 0.622
V: 0.250 0.750 0.500
V: 0.500 0.500 0.000
O: 0.000 0.000 0.000
O: 0.750 0.250 0.500